Density functional theory data (PBE) for crystalline BaZnTe2 at its relaxed geometry.

Geometry as extended XYZ:
```
4
Lattice="5.190 0.000 0.000 0.000 4.589 0.000 -1.255 0.000 7.076" Properties=species:S:1:pos:R:3 pbc="T T T"
Ba 0.000 0.000 0.000
Zn 3.521 2.295 2.680
Te 2.597 2.295 0.231
Te 4.497 0.000 3.611
```

Symmetry ... Pm, No. 6
Calculated total energy ... -3.3468 eV per atom



Density functional theory data (PBE) for crystalline AlCu2 at its relaxed geometry.

Geometry as extended XYZ:
```
3
Lattice="4.198 0.000 0.000 0.000 4.198 0.000 0.000 0.000 2.681" Properties=species:S:1:pos:R:3 pbc="T T T"
Al 0.000 0.000 0.000
Cu 0.000 2.099 1.341
Cu 2.099 0.000 1.341
```

Symmetry ... P4/mmm, No. 123
Formation energy from the elements ... 109 meV/atom



Density functional theory data (PBE) for crystalline SrAuSe2 at its relaxed geometry.

Geometry as extended XYZ:
```
4
Lattice="4.216 0.000 0.000 0.000 3.861 0.000 -0.026 0.000 6.793" Properties=species:S:1:pos:R:3 pbc="T T T"
Sr 0.000 0.000 0.000
Au 2.095 0.000 3.397
Se 2.084 1.931 5.179
Se 2.106 1.931 1.614
```

Relative energy among the computed polymorphs ... 56 meV/atom
Symmetry ... P2/m, No. 10



no.,V (Å³ per cell)
1,168.5
2,47.3
3,110.6